NpCuSi2Pt2: relaxed, PBE-GGA.

Computed properties:
Uncorrected energy, eV/atom: -7.21
ΔE_f (raw), eV per atom: -0.55
N(E_F), states/eV/f.u.: 8.92

Lattice parameters (Å, degrees): 4.1737 4.1737 6.7068 90.00 90.00 120.00
Site moments in Bohr magnetons follow the coordinates.
Positions (direct):
Si (0.3333, 0.6667, 0.7234)  -0.01
Pt (0.3333, 0.6667, 0.3315)  0.01
Np (0.0000, 0.0000, 0.0000)  3.75
Cu (0.0000, 0.0000, 0.5000)  0.02
Pt (0.6667, 0.3333, 0.6685)  0.01
Si (0.6667, 0.3333, 0.2766)  -0.01